Entry 1:
{
  "formula": "RuW4",
  "functional": "GGA-PBEsol",
  "state": "optimized geometry",
  "lattice": [[-1.811, -2.387, -0.871], [-1.123, -2.743, 4.264], [-4.933, 1.596, 0.298]],
  "species": ["Ru", "W", "W", "W", "W"],
  "fractional_positions": [[0.000, 0.000, 0.000], [0.196, 0.409, 0.198], [0.394, 0.802, 0.409], [0.606, 0.198, 0.591], [0.804, 0.591, 0.802]],
  "crystal_system": "tetragonal",
  "ef_ev_per_atom": 0.1419,
  "magnetic_moment_mub_per_cell": 0.0
}

***

Entry 2:
{
  "formula": "LaInBr2",
  "functional": "GGA-PBEsol",
  "state": "optimized geometry",
  "lattice": [[-1.353, -2.536, 2.721], [3.981, -2.489, -0.340], [2.387, 3.242, 4.209]],
  "species": ["Br", "Br", "In", "La"],
  "fractional_positions": [[0.000, 0.000, 0.000], [0.500, 0.000, 0.500], [0.500, 0.500, 0.000], [0.000, 0.500, 0.500]],
  "crystal_system": "orthorhombic",
  "magnetic_moment_mub_per_cell": 0.0,
  "dft_energy_ev_per_atom": -4.0750
}

***

Entry 3:
{
  "formula": "BaCrN2",
  "functional": "GGA-PBEsol",
  "state": "optimized geometry",
  "lattice": [[-4.921, -1.771, -2.509], [4.939, -3.987, -0.166], [-2.295, -3.122, 6.706]],
  "species": ["Ba", "Ba", "Ba", "Ba", "Cr", "Cr", "Cr", "Cr", "N", "N", "N", "N", "N", "N", "N", "N"],
  "fractional_positions": [[0.159, 0.318, 0.560], [0.841, 0.682, 0.440], [0.659, 0.318, 0.940], [0.341, 0.682, 0.060], [0.052, 0.103, 0.135], [0.448, 0.897, 0.635], [0.552, 0.103, 0.365], [0.948, 0.897, 0.865], [0.393, 0.786, 0.410], [0.344, 0.188, 0.250], [0.107, 0.214, 0.910], [0.656, 0.812, 0.750], [0.844, 0.188, 0.250], [0.893, 0.786, 0.090], [0.156, 0.812, 0.750], [0.607, 0.214, 0.590]],
  "crystal_system": "orthorhombic",
  "magnetic_moment_mub_per_cell": 0.0,
  "dft_energy_ev_per_atom": -8.3079
}

***

Entry 4:
{
  "formula": "Li3VO3F2",
  "functional": "GGA-PBEsol",
  "state": "optimized geometry",
  "lattice": [[4.936, 0.022, 0.022], [1.047, 4.954, 0.015], [2.486, 2.007, 6.891]],
  "species": ["Li", "Li", "Li", "Li", "Li", "Li", "O", "O", "O", "O", "O", "O", "V", "V", "F", "F", "F", "F"],
  "fractional_positions": [[0.485, 0.590, 0.307], [0.496, 0.440, 0.694], [0.463, 0.212, 0.098], [0.997, 0.286, 0.397], [0.569, 0.987, 0.519], [0.542, 0.789, 0.902], [0.760, 0.669, 0.417], [0.191, 0.121, 0.958], [0.243, 0.334, 0.575], [0.785, 0.067, 0.677], [0.760, 0.865, 0.050], [0.239, 0.567, 0.154], [0.978, 0.835, 0.193], [0.027, 0.137, 0.773], [0.287, 0.794, 0.738], [0.724, 0.218, 0.270], [0.731, 0.429, 0.855], [0.221, 0.960, 0.317]],
  "crystal_system": "triclinic",
  "magnetic_moment_mub_per_cell": 0.0,
  "dft_energy_ev_per_atom": -6.4389
}

***

Entry 5:
{
  "formula": "Fe2MoIr",
  "functional": "GGA-PBEsol",
  "state": "optimized geometry",
  "lattice": [[-1.370, 2.170, 0.579], [-2.718, -2.679, -2.366], [-0.812, -1.645, 4.245]],
  "species": ["Mo", "Fe", "Fe", "Ir"],
  "fractional_positions": [[0.000, 0.000, 0.500], [0.245, 0.490, 0.247], [0.755, 0.510, 0.753], [0.500, 0.000, 0.000]],
  "crystal_system": "monoclinic",
  "ef_ev_per_atom": 0.0546,
  "magnetic_moment_mub_per_cell": 3.5
}

***

Entry 6:
{
  "formula": "V2CdO4",
  "functional": "GGA-PBEsol",
  "state": "optimized geometry",
  "lattice": [[-2.344, -2.333, 5.139], [0.510, -5.980, 1.151], [3.715, -1.950, 4.443]],
  "species": ["O", "O", "O", "O", "O", "O", "O", "O", "Cd", "Cd", "V", "V", "V", "V"],
  "fractional_positions": [[0.393, 0.393, 0.393], [0.857, 0.857, 0.857], [0.393, 0.822, 0.393], [0.393, 0.393, 0.822], [0.857, 0.428, 0.857], [0.822, 0.393, 0.393], [0.857, 0.857, 0.428], [0.428, 0.857, 0.857], [0.250, 0.250, 0.250], [0.000, 0.000, 0.000], [0.625, 0.125, 0.625], [0.625, 0.625, 0.125], [0.125, 0.625, 0.625], [0.625, 0.625, 0.625]],
  "crystal_system": "cubic",
  "magnetic_moment_mub_per_cell": 8.0,
  "dft_energy_ev_per_atom": -7.8043
}

***

Entry 7:
{
  "formula": "Ca3CuIr",
  "functional": "GGA-PBEsol",
  "state": "optimized geometry",
  "lattice": [[-0.178, 4.925, -1.336], [-3.992, 0.698, 3.106], [3.179, 1.153, 3.826]],
  "species": ["Ca", "Ca", "Ca", "Cu", "Ir"],
  "fractional_positions": [[0.500, 0.000, 0.000], [0.000, 0.000, 0.500], [0.000, 0.500, 0.000], [0.000, 0.000, 0.000], [0.500, 0.500, 0.500]],
  "crystal_system": "cubic",
  "ef_ev_per_atom": 0.5631,
  "magnetic_moment_mub_per_cell": 0.0
}

***

Entry 8:
{
  "formula": "SnPb3",
  "functional": "GGA-PBEsol",
  "state": "optimized geometry",
  "lattice": [[-4.818, -2.509, -0.692], [-0.491, -0.951, 6.865], [-2.583, 5.760, -2.903]],
  "species": ["Sn", "Sn", "Pb", "Pb", "Pb", "Pb", "Pb", "Pb"],
  "fractional_positions": [[0.750, 0.333, 0.667], [0.250, 0.667, 0.333], [0.750, 0.831, 0.662], [0.250, 0.169, 0.338], [0.250, 0.169, 0.831], [0.250, 0.662, 0.831], [0.750, 0.831, 0.169], [0.750, 0.338, 0.169]],
  "crystal_system": "hexagonal",
  "ef_ev_per_atom": 0.0273,
  "magnetic_moment_mub_per_cell": 0.0
}

***

Entry 9:
{
  "formula": "TlSnCl3",
  "functional": "GGA-PBEsol",
  "state": "optimized geometry",
  "lattice": [[5.435, 0.000, 0.000], [0.000, 5.435, 0.000], [0.000, 0.000, 5.435]],
  "species": ["Tl", "Cl", "Cl", "Cl", "Sn"],
  "fractional_positions": [[0.500, 0.500, 0.500], [0.000, 0.000, 0.500], [0.500, 0.000, 0.000], [0.000, 0.500, 0.000], [0.000, 0.000, 0.000]],
  "crystal_system": "cubic",
  "magnetic_moment_mub_per_cell": 0.0,
  "dft_energy_ev_per_atom": -3.4684
}

***

Entry 10:
{
  "formula": "Mg2SbTe",
  "functional": "GGA-PBEsol",
  "state": "optimized geometry",
  "lattice": [[3.201, 0.017, 0.000], [-0.447, 3.170, 0.000], [0.000, 0.000, 9.966]],
  "species": ["Mg", "Mg", "Sb", "Te"],
  "fractional_positions": [[0.500, 0.500, 0.757], [0.000, 0.000, 0.994], [0.000, 0.000, 0.539], [0.500, 0.500, 0.210]],
  "crystal_system": "orthorhombic",
  "magnetic_moment_mub_per_cell": 0.0,
  "dft_energy_ev_per_atom": -2.9614
}

***

Entry 11:
{
  "formula": "TlAgSbPd2",
  "functional": "GGA-PBEsol",
  "state": "optimized geometry",
  "lattice": [[4.959, 0.000, 0.000], [0.000, 4.959, 0.000], [0.000, 0.000, 4.999]],
  "species": ["Tl", "Pd", "Pd", "Sb", "Ag"],
  "fractional_positions": [[0.000, 0.000, 0.000], [0.000, 0.500, 0.000], [0.500, 0.000, 0.000], [0.500, 0.500, 0.500], [0.000, 0.000, 0.500]],
  "crystal_system": "tetragonal",
  "magnetic_moment_mub_per_cell": 0.0,
  "dft_energy_ev_per_atom": -3.7088
}

***

Entry 12:
{
  "formula": "ErSn2",
  "functional": "GGA-PBEsol",
  "state": "optimized geometry",
  "lattice": [[-3.225, -0.188, 2.789], [-1.667, -3.379, -2.155], [3.389, -6.672, 3.469]],
  "species": ["Sn", "Sn", "Sn", "Sn", "Er", "Er"],
  "fractional_positions": [[0.250, 0.435, 0.130], [0.250, 0.749, 0.502], [0.750, 0.565, 0.870], [0.750, 0.251, 0.498], [0.250, 0.098, 0.804], [0.750, 0.902, 0.196]],
  "crystal_system": "orthorhombic",
  "ef_ev_per_atom": -0.6307,
  "magnetic_moment_mub_per_cell": 0.0
}

***

Entry 13:
{
  "formula": "Li2TiTeSe",
  "functional": "GGA-PBEsol",
  "state": "optimized geometry",
  "lattice": [[4.681, 0.000, 0.000], [0.000, 4.681, 0.000], [0.000, 0.000, 6.164]],
  "species": ["Li", "Li", "Ti", "Te", "Se"],
  "fractional_positions": [[0.000, 0.500, 0.000], [0.500, 0.000, 0.000], [0.500, 0.500, 0.500], [0.000, 0.000, 0.000], [0.000, 0.000, 0.500]],
  "crystal_system": "tetragonal",
  "magnetic_moment_mub_per_cell": 2.8,
  "dft_energy_ev_per_atom": -3.6358
}

***

Entry 14:
{
  "formula": "CoHg2Br",
  "functional": "GGA-PBEsol",
  "state": "optimized geometry",
  "lattice": [[-0.053, -0.671, -3.002], [2.780, -1.292, 0.255], [-3.723, -7.659, 1.777]],
  "species": ["Br", "Hg", "Hg", "Co"],
  "fractional_positions": [[0.000, 0.000, 0.418], [0.000, 0.000, 0.052], [0.500, 0.500, 0.761], [0.500, 0.500, 0.268]],
  "crystal_system": "orthorhombic",
  "magnetic_moment_mub_per_cell": 2.2,
  "dft_energy_ev_per_atom": -2.4300
}

***

Entry 15:
{
  "formula": "LiSc2Sn",
  "functional": "GGA-PBEsol",
  "state": "optimized geometry",
  "lattice": [[3.205, 0.000, 0.000], [1.602, 2.776, 0.000], [1.602, 0.925, 10.882]],
  "species": ["Sc", "Sc", "Sn", "Li"],
  "fractional_positions": [[0.089, 0.089, 0.733], [0.911, 0.911, 0.267], [0.000, 0.000, 0.000], [0.500, 0.500, 0.500]],
  "crystal_system": "trigonal",
  "ef_ev_per_atom": 0.1897,
  "magnetic_moment_mub_per_cell": 0.0
}

***

Entry 16:
{
  "formula": "NaBMoC2",
  "functional": "GGA-PBEsol",
  "state": "optimized geometry",
  "lattice": [[-1.901, 3.278, -1.146], [-2.186, -2.145, -2.510], [-3.854, -0.817, 4.055]],
  "species": ["C", "C", "B", "Na", "Mo"],
  "fractional_positions": [[0.000, 0.500, 0.000], [0.500, 0.000, 0.000], [0.500, 0.500, 0.500], [0.000, 0.000, 0.500], [0.000, 0.000, 0.000]],
  "crystal_system": "tetragonal",
  "ef_ev_per_atom": 2.4149,
  "magnetic_moment_mub_per_cell": 0.2
}

***

Entry 17:
{
  "formula": "In2Co21B6",
  "functional": "GGA-PBEsol",
  "state": "optimized geometry",
  "lattice": [[-2.483, -5.824, -3.783], [4.249, -3.137, -5.148], [2.904, -6.675, 1.182]],
  "species": ["Co", "Co", "Co", "Co", "Co", "Co", "Co", "Co", "Co", "Co", "Co", "Co", "Co", "Co", "Co", "Co", "Co", "Co", "Co", "Co", "Co", "B", "B", "B", "B", "B", "B", "In", "In"],
  "fractional_positions": [[0.000, 0.000, 0.000], [0.335, 0.000, 0.665], [0.000, 0.000, 0.335], [0.614, 0.614, 0.159], [0.000, 0.665, 0.000], [0.159, 0.614, 0.614], [0.665, 0.335, 0.000], [0.614, 0.614, 0.614], [0.614, 0.159, 0.614], [0.335, 0.665, 0.000], [0.000, 0.335, 0.000], [0.386, 0.386, 0.841], [0.841, 0.386, 0.386], [0.000, 0.665, 0.335], [0.000, 0.335, 0.665], [0.386, 0.386, 0.386], [0.000, 0.000, 0.665], [0.386, 0.841, 0.386], [0.335, 0.000, 0.000], [0.665, 0.000, 0.000], [0.665, 0.000, 0.335], [0.725, 0.275, 0.275], [0.725, 0.725, 0.275], [0.275, 0.725, 0.725], [0.275, 0.275, 0.725], [0.725, 0.275, 0.725], [0.275, 0.725, 0.275], [0.250, 0.250, 0.250], [0.750, 0.750, 0.750]],
  "crystal_system": "cubic",
  "ef_ev_per_atom": -0.1823,
  "magnetic_moment_mub_per_cell": 20.6
}

***

Entry 18:
{
  "formula": "BiSe2BrN",
  "functional": "GGA-PBEsol",
  "state": "optimized geometry",
  "lattice": [[-1.600, -3.423, -2.152], [4.524, -0.106, -3.196], [2.464, -3.415, 3.600]],
  "species": ["N", "Se", "Se", "Br", "Bi"],
  "fractional_positions": [[0.500, 0.000, 0.000], [0.000, 0.000, 0.500], [0.000, 0.500, 0.000], [0.500, 0.500, 0.500], [0.000, 0.000, 0.000]],
  "crystal_system": "tetragonal",
  "magnetic_moment_mub_per_cell": 2.9,
  "dft_energy_ev_per_atom": -3.3201
}

***

Entry 19:
{
  "formula": "MoOs2",
  "functional": "GGA-PBEsol",
  "state": "optimized geometry",
  "lattice": [[2.751, 0.000, 0.000], [0.000, 4.382, 0.000], [-1.375, 0.000, 7.143]],
  "species": ["Os", "Os", "Os", "Os", "Mo", "Mo"],
  "fractional_positions": [[0.222, 0.750, 0.444], [0.559, 0.750, 0.117], [0.441, 0.250, 0.883], [0.778, 0.250, 0.556], [0.110, 0.250, 0.220], [0.890, 0.750, 0.780]],
  "crystal_system": "orthorhombic",
  "ef_ev_per_atom": -0.0036,
  "magnetic_moment_mub_per_cell": 0.0
}

***

Entry 20:
{
  "formula": "SrMn2Se",
  "functional": "GGA-PBEsol",
  "state": "optimized geometry",
  "lattice": [[-2.328, -2.448, -2.605], [-2.405, -1.361, 3.428], [-0.750, 5.624, -1.121]],
  "species": ["Sr", "Se", "Mn", "Mn"],
  "fractional_positions": [[0.211, 0.711, 0.423], [0.455, 0.455, 0.911], [0.866, 0.366, 0.731], [0.968, 0.968, 0.935]],
  "crystal_system": "orthorhombic",
  "magnetic_moment_mub_per_cell": 6.3,
  "dft_energy_ev_per_atom": -6.0165
}

***

These records have ρ values of 18146, 6328, 5689, 3119, 12901, 5727, 4690, 10738, 4443, 4888, 8740, 9117, 3299, 10891, 3698, 2881, 8969, 5733, 18374, 4984 kg/m3, in the order they appear.